No. 1
# TaTcSbTe2

TaTcSbTe2 after structural relaxation (GGA-PBE, the Alexandria database).

POSCAR file:
```
TaTcSbTe2
1.0
-3.9884 0.4300 3.5413
-3.5618 -0.1838 -3.9891
-0.2032 -5.4444 0.4323
Te Tc Sb Ta
2 1 1 1
direct
0.0000 0.5000 0.0000 Te
0.5000 0.0000 0.0000 Te
0.5000 0.5000 0.5000 Tc
0.0000 0.0000 0.5000 Sb
0.0000 0.0000 0.0000 Ta
```

Computed properties:
For the final energy, the calculation gives -27.082 eV per cell. The energy relative to the elements, uncorrected comes out at 1.108 eV/atom. The polymorph energy (0 for the lowest one) is 0 meV/atom. The symmetry is P4/mmm.

***

No. 2
# YTaTc2Sb

YTaTc2Sb after structural relaxation (GGA-PBE, the Alexandria database).

POSCAR file:
```
YTaTc2Sb
1.0
-2.8318 -0.8119 3.9048
1.8748 -4.6539 0.3919
3.5477 1.6752 2.9211
Sb Tc Y Ta
1 2 1 1
direct
0.0000 0.0000 0.0000 Sb
0.5000 0.0000 0.0000 Tc
0.0000 0.0000 0.5000 Tc
0.5000 0.5000 0.5000 Y
0.0000 0.5000 0.0000 Ta
```

Computed properties:
For the final energy, the calculation gives -37.103 eV per cell. The energy relative to the elements, uncorrected comes out at 1.214 eV/atom. The symmetry is P4/mmm.